This record from the Open Quantum Materials Database describes a relaxed structure of RbUIn. The functional is PBE.

```
RbUIn
1.0
4.593 -1.918 2.780
-0.627 -3.330 4.585
1.399 -5.520 -0.273
Rb U In
1 1 1
direct
0.750 0.750 0.750 Rb
0.000 0.000 0.000 U
0.250 0.250 0.250 In
```

The space group is F-43m, No. 216.



This record from the Open Quantum Materials Database describes a relaxed structure of Nb2PtO6. The functional is PBE.

```
Nb2PtO6
1.0
-1.163 -1.981 4.162
0.677 -3.795 2.783
6.172 5.345 1.205
Nb O Pt
2 6 1
direct
0.300 0.300 0.695 Nb
0.700 0.700 0.305 Nb
0.767 0.767 0.859 O
0.341 0.341 0.457 O
0.021 0.021 0.255 O
0.979 0.979 0.745 O
0.659 0.659 0.543 O
0.233 0.233 0.141 O
0.000 0.000 0.000 Pt
```

The space group is C2/m, No. 12.



This record from the Open Quantum Materials Database describes a relaxed structure of TmPdO3. The functional is PBE.

```
TmPdO3
1.0
-2.633 4.307 2.640
2.633 -4.307 2.640
2.633 4.307 -2.640
O Tm Pd
6 2 2
direct
0.633 0.383 0.250 O
0.161 0.000 0.661 O
0.367 0.617 0.750 O
0.839 0.500 0.839 O
0.839 0.000 0.339 O
0.161 0.500 0.161 O
0.223 0.973 0.250 Tm
0.777 0.027 0.750 Tm
0.000 0.500 0.500 Pd
0.500 0.500 0.000 Pd
```

The space group is Imma, No. 74.



| no. | calculated total energy (eV per cell) | spin magnetization (μB/f.u.) |
| --- | --- | --- |
| 1 | -10.9 | 3.2 |
| 2 | -72.6 | 0.0 |
| 3 | -68.1 | 0.0 |